A plane-wave DFT calculation with GGA-PBE was carried out for Pa2CdPt after structural relaxation.

Cell: 3.0924 3.0924 11.2881 Å, 82.13 82.13 60.00°
With the nearest neighbours (Å) after each atom.
Sites, in units of the cell vectors:
Pa 0.0814 0.0814 0.7558  1 Pt 2.72
Pa 0.9186 0.9186 0.2442  1 Pt 2.72
Pt 0.0000 0.0000 0.0000  2 Pa 2.72
Cd 0.5000 0.5000 0.5000  6 Cd 3.09, 6 Pa 3.36

- Space group: R-3m, No. 166
- DOS(E_F): 7.9 states/eV/f.u.
- E above lowest polymorph: 352 meV per atom
- Theoretical density: 13.84 Mg/m³

A plane-wave DFT calculation with GGA-PBE was carried out for PaCdPtRh after structural relaxation.

Cell: 4.7984 4.7984 4.7984 Å, 60.00 60.00 60.00°
With the nearest neighbours (Å) after each atom.
Sites, in units of the cell vectors:
Pa 0.5000 0.5000 0.5000  4 Pt 2.94, 4 Rh 2.94
Rh 0.2500 0.2500 0.2500  4 Pa 2.94, 4 Cd 2.94
Pt 0.7500 0.7500 0.7500  4 Cd 2.94, 4 Pa 2.94
Cd 0.0000 0.0000 0.0000  4 Rh 2.94, 4 Pt 2.94

- Space group: F-43m, No. 216
- DOS(E_F): 3.7 states/eV/f.u.
- DFT total energy: -6.5758 eV/atom
- Theoretical density: 13.63 Mg/m³

A plane-wave DFT calculation with GGA-PBE was carried out for PaCdRuPt after structural relaxation.

Cell: 4.7799 4.7799 4.7799 Å, 60.00 60.00 60.00°
With the nearest neighbours (Å) after each atom.
Sites, in units of the cell vectors:
Ru 0.2500 0.2500 0.2500  4 Pa 2.93, 4 Cd 2.93
Pa 0.5000 0.5000 0.5000  4 Pt 2.93, 4 Ru 2.93
Pt 0.7500 0.7500 0.7500  4 Pa 2.93, 4 Cd 2.93
Cd 0.0000 0.0000 0.0000  4 Ru 2.93, 4 Pt 2.93

- Space group: F-43m, No. 216
- DOS(E_F): 4.4 states/eV/f.u.
- DFT total energy: -6.8389 eV/atom
- Theoretical density: 13.75 Mg/m³

A plane-wave DFT calculation with GGA-PBE was carried out for PaCdSi2Pt2 after structural relaxation.

Cell: 4.1801 4.1801 7.4366 Å, 90.00 90.00 120.00°
With the nearest neighbours (Å) after each atom.
Sites, in units of the cell vectors:
Pa 0.0000 0.0000 0.0000  6 Si 3.01, 6 Pt 3.16
Cd 0.0000 0.0000 0.5000  6 Pt 2.94, 6 Si 3.08
Si 0.6667 0.3333 0.2421  3 Pt 2.43
Si 0.3333 0.6667 0.7579  3 Pt 2.43
Pt 0.6667 0.3333 0.7254  3 Si 2.43
Pt 0.3333 0.6667 0.2746  3 Si 2.43

- Space group: P-3m1, No. 164
- DOS(E_F): 3.6 states/eV/f.u.
- Formation energy (no corrections): -0.649 eV/atom
- Theoretical density: 11.65 Mg/m³

A plane-wave DFT calculation with GGA-PBE was carried out for Pa2CdSi4Pt3 after structural relaxation.

Cell: 4.2460 4.2460 10.0221 Å, 90.00 90.00 90.00°
With the nearest neighbours (Å) after each atom.
Sites, in units of the cell vectors:
Pa 0.5000 0.0000 0.2419  8 Si 3.20-3.22, 7 Pt 3.26-3.58, 2 Cd 3.35
Pa 0.0000 0.5000 0.7581  8 Si 3.20-3.22, 7 Pt 3.26-3.58, 2 Cd 3.35
Cd 0.5000 0.5000 0.5000  4 Si 2.58
Si 0.5000 0.5000 0.0000  4 Pt 2.42
Si 0.0000 0.0000 0.0000  4 Pt 2.42
Si 0.5000 0.0000 0.6470  3 Pt 2.38-2.58, 2 Cd 2.58
Si 0.0000 0.5000 0.3530  3 Pt 2.38-2.58, 2 Cd 2.58
Pt 0.0000 0.0000 0.5000  4 Si 2.58
Pt 0.5000 0.0000 0.8844  5 Si 2.38-2.42
Pt 0.0000 0.5000 0.1156  5 Si 2.38-2.42

- Space group: P-4m2, No. 115
- DOS(E_F): 7.7 states/eV/f.u.
- Formation energy (no corrections): -0.726 eV/atom
- Theoretical density: 11.69 Mg/m³

A plane-wave DFT calculation with GGA-PBE was carried out for PaCdSnPt after structural relaxation.

Cell: 4.9889 4.9889 4.9889 Å, 60.00 60.00 60.00°
With the nearest neighbours (Å) after each atom.
Sites, in units of the cell vectors:
Pa 0.2500 0.2500 0.2500  4 Pt 3.06, 4 Cd 3.06
Sn 0.7500 0.7500 0.7500  4 Cd 3.06, 4 Pt 3.06
Pt 0.0000 0.0000 0.0000  4 Sn 3.06, 4 Pa 3.06
Cd 0.5000 0.5000 0.5000  4 Pa 3.06, 4 Sn 3.06

- Space group: F-43m, No. 216
- DOS(E_F): 4.6 states/eV/f.u.
- DFT total energy: -5.4392 eV/atom
- Theoretical density: 12.43 Mg/m³